# LiTlPb2

A crystal of LiTlPb2 relaxed with PBEsol (meta-GGA SCAN, Alexandria via LeMat-Bulk).

Values from the calculation:
E, eV/atom: -56.722
Magnetic moment, μB/f.u.: 0.000
Density, g cm⁻³: 10.23
Calculated volume, A^3/atom: 25.4

abc: 3.4640 3.4640 8.4648
angles: 90.00 90.00 90.00
Space group P4mm (No. 99)
Inequivalent atoms, fractional coordinates:
Li: 0.0000 0.0000 0.0000 [1 per cell]
Tl: 0.5000 0.5000 0.7903 [1 per cell]
Pb: 0.0000 0.0000 0.5116 [1 per cell]
Pb: 0.5000 0.5000 0.2221 [1 per cell]